First-principles (GGA-PBE) data for a relaxed structure of Bi3IrS6, as listed in Alexandria.

Cell lengths 9.684, 3.843, 13.697 Å; angles 90.00, 98.91, 90.00 degrees
Element x y z (fractional)
Bi (0.111, 0.250, 0.125)
Bi (0.351, 0.750, 0.574)
Bi (0.361, 0.250, 0.894)
Bi (0.639, 0.750, 0.106)
Bi (0.649, 0.250, 0.426)
Bi (0.889, 0.750, 0.875)
Ir (0.010, 0.250, 0.612)
Ir (0.990, 0.750, 0.388)
S (0.115, 0.250, 0.468)
S (0.132, 0.750, 0.261)
S (0.146, 0.750, 0.680)
S (0.160, 0.750, 0.953)
S (0.434, 0.250, 0.093)
S (0.473, 0.250, 0.684)
S (0.527, 0.750, 0.316)
S (0.566, 0.750, 0.907)
S (0.840, 0.250, 0.047)
S (0.854, 0.250, 0.320)
S (0.868, 0.250, 0.739)
S (0.885, 0.750, 0.532)

Output
The value obtained for the uncorrected formation energy is -0.302 eV per atom. The calculation puts the total DFT energy (no corrections) at -4.83 eV/atom.

First-principles (GGA-PBE) data for a relaxed structure of NaOsRu2O8, as listed in Alexandria.

Cell lengths 4.724, 4.724, 6.167 Å; angles 90.00, 90.00, 92.00 degrees
Element x y z (fractional)
Na (0.000, 0.000, 0.000)
Os (0.000, 0.000, 0.500)
Ru (0.500, 0.500, 0.253)
Ru (0.500, 0.500, 0.747)
O (0.207, 0.207, 0.285)
O (0.207, 0.207, 0.715)
O (0.290, 0.710, 0.500)
O (0.332, 0.668, 0.000)
O (0.668, 0.332, 0.000)
O (0.710, 0.290, 0.500)
O (0.793, 0.793, 0.285)
O (0.793, 0.793, 0.715)

Output
The value obtained for the uncorrected formation energy is -1.054 eV per atom. The calculation puts the total DFT energy (no corrections) at -6.95 eV/atom.

Number 2 is which compound?
NaOsRu2O8

What is the uncorrected formation energy in the second record?
-1.054 eV per atom

What is the uncorrected formation energy in the first record?
-0.302 eV per atom